Density functional theory data (PBE) for a geometry-optimized LiCd12Pd6 structure.

Properties
The symmetry is No. 148. As for the density of states at the Fermi level: 7.2 states/eV/cell. The density comes out at 9.20 g cm⁻³. The total energy is -49.475 eV per cell.

```
19
Lattice="5.0447 2.9126 4.0853 -5.0447 2.9126 4.0853 0.0000 -5.8252 4.0853" Properties=species:S:1:pos:R:3 pbc="T T T"
Li 0.0000 0.0000 0.0000
Cd -0.5876 -1.6324 2.2004
Cd -1.1199 1.3251 2.2004
Cd -1.3859 -1.4163 5.0440
Cd 1.7075 0.3073 2.2004
Cd -1.9195 0.4921 7.2119
Cd -0.5336 1.9084 5.0440
Cd 0.5336 -1.9084 7.2119
Cd 1.9195 -0.4921 5.0440
Cd -1.7075 -0.3073 10.0555
Cd 1.3859 1.4163 7.2119
Cd 1.1199 -1.3251 10.0555
Cd 0.5876 1.6324 10.0555
Pd -3.1207 0.8836 4.5836
Pd -2.3256 -2.2609 7.6723
Pd 0.7952 -3.1444 4.5836
Pd -0.7952 3.1444 7.6723
Pd 2.3256 2.2609 4.5836
Pd 3.1207 -0.8836 7.6723
```